ZrMn3N | Alexandria | PBE | relaxed; symmetry = Pm-3m (221); offset from the most stable computed form = 2706 meV/atom
1.0
4.883 0.000 0.000
0.000 4.883 0.000
0.000 0.000 4.883
Zr Mn N
1 3 1
direct
0.000 0.000 0.000
0.000 0.000 0.500
0.000 0.500 0.000
0.500 0.000 0.000
0.500 0.500 0.500

***

NaMn | Alexandria | PBE | relaxed; symmetry = F-43m (216); ΔH_f (0 K) = 1.628 eV/atom
1.0
0.000 3.484 3.484
3.484 0.000 3.484
3.484 3.484 0.000
Na Mn
1 1
direct
0.000 0.000 0.000
0.750 0.750 0.750

***

NaMn | Alexandria | PBE | relaxed; symmetry = Fm-3m (225); ΔH_f (0 K) = 1.242 eV/atom
1.0
0.000 3.003 3.003
3.003 0.000 3.003
3.003 3.003 0.000
Na Mn
1 1
direct
0.000 0.000 0.000
0.500 0.500 0.500

***

NaMn | Alexandria | PBE | relaxed; symmetry = Cmmm (65); ΔH_f (0 K) = 0.746 eV/atom
1.0
1.529 -2.454 0.000
1.529 2.454 0.000
0.000 0.000 5.484
Na Mn
1 1
direct
0.000 0.000 0.000
0.500 0.500 0.500